Material: NaMoO2
Method: DFT, GGA+U
State: optimized geometry

Unit cell a=4.743 b=4.743 c=6.645 alpha=69.09 beta=69.09 gamma=90.00
Fractional positions:
Mo: 0.000 0.000 0.000
O: 0.375 0.315 0.750
Mo: 0.750 0.250 0.500
O: 0.685 0.125 0.250
O: 0.065 0.625 0.250
O: 0.875 0.935 0.750
Na: 0.250 0.750 0.500
Na: 0.500 0.500 0.000

Computed properties:
Its space-group type is I-42d (122). The density of states at the Fermi level is 0.16 states/eV/f.u. As for the total energy: -5.823 eV per atom.